Run A
Crystalline AcDySc2 at its relaxed geometry, computed with PBE-GGA.

Results
Fermi-level density of states (states/eV per cell): 5.39

Cell: 5.5810 5.5810 5.5810 Å, 60.00 60.00 60.00°
Last column: nearest neighbours and their distance in Å.
Sites, in units of the cell vectors:
Dy: 0.0000 0.0000 0.0000  8 Sc 3.42
Ac: 0.5000 0.5000 0.5000  8 Sc 3.42
Sc: 0.2500 0.2500 0.2500  4 Dy 3.42, 4 Ac 3.42
Sc: 0.7500 0.7500 0.7500  4 Dy 3.42, 4 Ac 3.42


Run B
Crystalline AcDySc2 at its relaxed geometry, computed with PBE-GGA.

Results
Fermi-level density of states (states/eV per cell): 5.08

Cell: 3.5750 3.5750 11.2542 Å, 80.86 80.86 60.00°
Last column: nearest neighbours and their distance in Å.
Sites, in units of the cell vectors:
Sc: 0.7529 0.7529 0.7414  3 Dy 3.38, 3 Ac 3.53, 6 Sc 3.57
Dy: 0.5000 0.5000 0.5000  6 Sc 3.38, 6 Dy 3.57
Ac: 0.0000 0.0000 0.0000  6 Sc 3.53, 6 Ac 3.57
Sc: 0.2471 0.2471 0.2586  3 Dy 3.38, 3 Ac 3.53, 6 Sc 3.57


Run C
Crystalline AcDySc2 at its relaxed geometry, computed with PBE-GGA.

Results
Fermi-level density of states (states/eV per cell): 6.98

Cell: 3.5919 3.5919 11.2303 Å, 80.80 80.80 60.00°
Last column: nearest neighbours and their distance in Å.
Sites, in units of the cell vectors:
Ac: 0.6667 0.6667 0.0000  6 Sc 3.54, 6 Ac 3.59
Sc: 0.2468 0.2468 0.2596  3 Dy 3.37, 3 Ac 3.54, 6 Sc 3.59
Sc: 0.0866 0.0866 0.7401  3 Dy 3.36, 3 Ac 3.54, 6 Sc 3.59
Dy: 0.4999 0.4999 0.5002  6 Sc 3.36-3.37, 6 Dy 3.59


Run D
Crystalline AcDySc2 at its relaxed geometry, computed with PBE-GGA.

Results
Fermi-level density of states (states/eV per cell): 6.06

Cell: 3.9883 3.9883 7.7293 Å, 90.00 90.00 90.00°
Last column: nearest neighbours and their distance in Å.
Sites, in units of the cell vectors:
Sc: 0.0000 0.0000 0.7722  4 Dy 3.32, 4 Ac 3.52, 1 Sc 3.52
Dy: 0.5000 0.5000 0.0000  8 Sc 3.32
Ac: 0.5000 0.5000 0.5000  8 Sc 3.52, 2 Dy 3.86
Sc: 0.0000 0.0000 0.2278  4 Dy 3.32, 4 Ac 3.52, 1 Sc 3.52


The structure with the least stability is run B.